# CsZnCuF6 | Alexandria via LeMat-Bulk | PBE | optimized geometry
data_CsZnCuF6
_cell_length_a 5.3754
_cell_length_b 5.3754
_cell_length_c 6.5079
_cell_angle_alpha 90.00
_cell_angle_beta 90.00
_cell_angle_gamma 120.00
_space_group_name_H-M_alt 'P 3 1 2'
_space_group_IT_number 149
_space_group_name_Hall 'P 3 2'
loop_
_atom_site_label
_atom_site_type_symbol
_atom_site_fract_x
_atom_site_fract_y
_atom_site_fract_z
_atom_site_occupancy
Cs1 Cs 0.0000 0.0000 0.0000 1
Zn1 Zn 0.6667 0.3333 0.5000 1
Cu1 Cu 0.3333 0.6667 0.5000 1
F1 F 0.0181 0.3916 0.6690 1
# Calculated volume = 162.9 Å³/f.u.
# Calculated total energy = -4.01 eV/atom
# Calculated density = 3.832 Mg/m³
# Crystal system = trigonal
# Spin magnetization = 1.949 Bohr magnetons per cell